[1]
## Sb3Os (PBE-GGA)

Data for crystalline Sb3Os at its relaxed geometry.

## Properties
mass density	9.9	g/cm3
offset from the most stable computed form	0.154	eV per atom
calculated volume	23.3	Å³ per atom
raw formation energy	362	meV/atom
density of states at the Fermi level	3.858	states/eV/f.u.

abc: 9.553 9.553 9.553
angles: 20.46 20.46 20.46
Positions (direct):
Sb  0.000  0.000  0.000
Sb  0.235  0.235  0.235
Sb  0.765  0.765  0.765
Os  0.500  0.500  0.500

---

[2]
## SbOs5 (PBE-GGA)

Data for crystalline SbOs5 at its relaxed geometry.

## Properties
mass density	19.4	g/cm3
offset from the most stable computed form	0.085	eV per atom
calculated volume	15.3	Å³ per atom
raw formation energy	440	meV/atom
density of states at the Fermi level	5.711	states/eV/f.u.

abc: 4.866 4.866 4.489
angles: 90.00 90.00 120.00
Positions (direct):
Sb  0.000  0.000  0.000
Os  0.000  0.638  0.500
Os  0.333  0.667  0.000
Os  0.362  0.362  0.500
Os  0.638  0.000  0.500
Os  0.667  0.333  0.000

---

[3]
## Sb3Os (PBE-GGA)

Data for crystalline Sb3Os at its relaxed geometry.

## Properties
mass density	9.8	g/cm3
offset from the most stable computed form	0.056	eV per atom
calculated volume	23.6	Å³ per atom
raw formation energy	264	meV/atom
density of states at the Fermi level	1.288	states/eV/f.u.

abc: 3.178 3.178 9.328
angles: 90.00 90.00 90.00
Positions (direct):
Sb  0.000  0.000  0.000
Sb  0.500  0.500  0.315
Sb  0.500  0.500  0.685
Os  0.000  0.000  0.500

---

[4]
## SbOs5 (PBE-GGA)

Data for crystalline SbOs5 at its relaxed geometry.

## Properties
mass density	19.3	g/cm3
offset from the most stable computed form	0.000	eV per atom
calculated volume	15.4	Å³ per atom
raw formation energy	355	meV/atom
density of states at the Fermi level	3.043	states/eV/f.u.

abc: 5.265 5.265 6.653
angles: 105.48 105.48 31.33
Positions (direct):
Sb  0.000  0.000  0.000
Os  0.268  0.268  0.039
Os  0.348  0.348  0.653
Os  0.635  0.635  0.695
Os  0.689  0.689  0.337
Os  0.960  0.960  0.389

---

[5]
## Sb3Os2 (PBE-GGA)

Data for crystalline Sb3Os2 at its relaxed geometry.

## Properties
mass density	11.9	g/cm3
offset from the most stable computed form	0.088	eV per atom
calculated volume	20.8	Å³ per atom
raw formation energy	403	meV/atom
density of states at the Fermi level	2.073	states/eV/f.u.

abc: 4.487 4.487 5.971
angles: 90.00 90.00 120.00
Positions (direct):
Sb  0.000  0.000  0.000
Sb  0.333  0.667  0.340
Sb  0.667  0.333  0.660
Os  0.333  0.667  0.842
Os  0.667  0.333  0.158

---

[6]
## Sb2Os (PBE-GGA)

Data for crystalline Sb2Os at its relaxed geometry.

## Properties
mass density	11.6	g/cm3
calculated volume	20.8	Å³ per atom
raw formation energy	283	meV/atom
density of states at the Fermi level	1.389	states/eV/f.u.

abc: 5.454 5.454 5.454
angles: 107.69 107.69 113.10
Positions (direct):
Sb  0.164  0.664  0.827
Sb  0.336  0.164  0.500
Sb  0.664  0.836  0.500
Sb  0.836  0.336  0.173
Os  0.250  0.250  0.000
Os  0.750  0.750  0.000

---

[7]
## Sb5Os (PBE-GGA)

Data for crystalline Sb5Os at its relaxed geometry.

## Properties
mass density	7.7	g/cm3
offset from the most stable computed form	0.037	eV per atom
calculated volume	28.9	Å³ per atom
raw formation energy	213	meV/atom
density of states at the Fermi level	3.263	states/eV/f.u.

abc: 7.011 7.011 7.922
angles: 109.15 109.15 28.22
Positions (direct):
Sb  0.000  0.000  0.000
Sb  0.023  0.023  0.647
Sb  0.248  0.248  0.785
Sb  0.299  0.299  0.193
Sb  0.651  0.651  0.326
Os  0.652  0.652  0.969

---

[8]
## ScSbOs2 (PBE-GGA)

Data for crystalline ScSbOs2 at its relaxed geometry.

## Properties
mass density	13.0	g/cm3
calculated volume	17.4	Å³ per atom
raw formation energy	40	meV/atom
density of states at the Fermi level	2.213	states/eV/f.u.

abc: 5.400 5.400 4.732
angles: 111.53 111.53 33.18
Positions (direct):
Sc  0.000  0.000  0.000
Sb  0.226  0.226  0.783
Os  0.491  0.491  0.462
Os  0.768  0.768  0.353

---

[9]
## Sc3SbOs (PBE-GGA)

Data for crystalline Sc3SbOs at its relaxed geometry.

## Properties
mass density	5.4	g/cm3
offset from the most stable computed form	1.148	eV per atom
calculated volume	27.3	Å³ per atom
raw formation energy	953	meV/atom
density of states at the Fermi level	4.345	states/eV/f.u.

abc: 5.148 5.148 5.148
angles: 90.00 90.00 90.00
Positions (direct):
Sc  0.000  0.000  0.500
Sc  0.000  0.500  0.000
Sc  0.500  0.000  0.000
Sb  0.000  0.000  0.000
Os  0.500  0.500  0.500

---

[10]
## ScSb2Os (PBE-GGA)

Data for crystalline ScSb2Os at its relaxed geometry.

## Properties
mass density	9.6	g/cm3
offset from the most stable computed form	0.382	eV per atom
calculated volume	20.8	Å³ per atom
raw formation energy	158	meV/atom
density of states at the Fermi level	3.948	states/eV/f.u.

abc: 9.168 9.168 9.168
angles: 20.55 20.55 20.55
Positions (direct):
Sc  0.000  0.000  0.000
Sb  0.241  0.241  0.241
Sb  0.759  0.759  0.759
Os  0.500  0.500  0.500

---

[11]
## ScSbOs2 (PBE-GGA)

Data for crystalline ScSbOs2 at its relaxed geometry.

## Properties
mass density	13.2	g/cm3
calculated volume	17.2	Å³ per atom
raw formation energy	99	meV/atom
density of states at the Fermi level	2.938	states/eV/f.u.

abc: 4.738 4.738 5.105
angles: 100.55 100.55 37.76
Positions (direct):
Sc  0.000  0.000  0.000
Sb  0.500  0.500  0.500
Os  0.250  0.250  0.737
Os  0.750  0.750  0.263

---

[12]
## ScSbOs2 (PBE-GGA)

Data for crystalline ScSbOs2 at its relaxed geometry.

## Properties
mass density	13.6	g/cm3
calculated volume	16.7	Å³ per atom
raw formation energy	-119	meV/atom
density of states at the Fermi level	1.065	states/eV/f.u.

abc: 4.496 4.496 3.296
angles: 90.00 90.00 90.00
Positions (direct):
Sc  0.000  0.000  0.000
Sb  0.500  0.500  0.000
Os  0.000  0.500  0.500
Os  0.500  0.000  0.500

---

[13]
## ScSb2Os (PBE-GGA)

Data for crystalline ScSb2Os at its relaxed geometry.

## Properties
mass density	8.3	g/cm3
offset from the most stable computed form	0.131	eV per atom
calculated volume	24.0	Å³ per atom
raw formation energy	-93	meV/atom
density of states at the Fermi level	2.233	states/eV/f.u.

abc: 3.200 4.094 7.498
angles: 90.00 102.20 90.00
Positions (direct):
Sc  0.000  0.000  0.000
Sb  0.391  0.500  0.780
Sb  0.688  0.000  0.382
Os  0.575  0.500  0.153

---

[14]
## Sc3SbOs (PBE-GGA)

Data for crystalline Sc3SbOs at its relaxed geometry.

## Properties
mass density	5.9	g/cm3
offset from the most stable computed form	0.000	eV per atom
calculated volume	25.1	Å³ per atom
raw formation energy	-195	meV/atom
density of states at the Fermi level	7.399	states/eV/f.u.

abc: 5.009 5.009 5.009
angles: 90.00 90.00 90.00
Positions (direct):
Sc  0.000  0.000  0.500
Sc  0.000  0.500  0.000
Sc  0.500  0.000  0.000
Sb  0.500  0.500  0.500
Os  0.000  0.000  0.000

---

[15]
## ScSbOs2 (PBE-GGA)

Data for crystalline ScSbOs2 at its relaxed geometry.

## Properties
mass density	11.8	g/cm3
calculated volume	19.3	Å³ per atom
raw formation energy	712	meV/atom
density of states at the Fermi level	5.319	states/eV/f.u.

abc: 5.938 5.938 5.938
angles: 103.25 103.25 122.80
Positions (direct):
Sc  0.000  0.000  0.000
Sc  0.750  0.250  0.500
Sb  0.250  0.750  0.500
Sb  0.500  0.500  0.000
Os  0.152  0.625  0.027
Os  0.375  0.402  0.527
Os  0.598  0.125  0.973
Os  0.875  0.848  0.473

---

[16]
## ScSb4Os (PBE-GGA)

Data for crystalline ScSb4Os at its relaxed geometry.

## Properties
mass density	7.9	g/cm3
calculated volume	25.4	Å³ per atom
raw formation energy	889	meV/atom
density of states at the Fermi level	5.387	states/eV/f.u.

abc: 5.998 5.998 5.998
angles: 60.00 60.00 60.00
Positions (direct):
Sc  0.000  0.000  0.000
Sb  0.375  0.375  0.375
Sb  0.375  0.375  0.874
Sb  0.375  0.874  0.375
Sb  0.874  0.375  0.375
Os  0.750  0.750  0.750

---

[17]
## Sc4SbOs (PBE-GGA)

Data for crystalline Sc4SbOs at its relaxed geometry.

## Properties
mass density	6.7	g/cm3
offset from the most stable computed form	0.869	eV per atom
calculated volume	20.5	Å³ per atom
raw formation energy	316	meV/atom
density of states at the Fermi level	7.498	states/eV/f.u.

abc: 5.578 5.578 5.578
angles: 60.00 60.00 60.00
Positions (direct):
Sc  0.123  0.123  0.123
Sc  0.123  0.123  0.631
Sc  0.123  0.631  0.123
Sc  0.631  0.123  0.123
Sb  0.500  0.500  0.500
Os  0.750  0.750  0.750

---

[18]
## ScSbOs2 (PBE-GGA)

Data for crystalline ScSbOs2 at its relaxed geometry.

## Properties
mass density	12.7	g/cm3
calculated volume	17.9	Å³ per atom
raw formation energy	114	meV/atom
density of states at the Fermi level	3.430	states/eV/f.u.

abc: 2.994 2.994 7.993
angles: 90.00 90.00 90.00
Positions (direct):
Sc  0.000  0.000  0.000
Sb  0.500  0.500  0.707
Os  0.000  0.000  0.445
Os  0.500  0.500  0.248

---

[19]
## ScSb2Os (PBE-GGA)

Data for crystalline ScSb2Os at its relaxed geometry.

## Properties
mass density	8.9	g/cm3
offset from the most stable computed form	0.000	eV per atom
calculated volume	22.2	Å³ per atom
raw formation energy	-224	meV/atom
density of states at the Fermi level	1.753	states/eV/f.u.

abc: 3.205 3.205 8.662
angles: 90.00 90.00 90.00
Positions (direct):
Sc  0.000  0.000  0.000
Sb  0.000  0.000  0.380
Sb  0.500  0.500  0.742
Os  0.500  0.500  0.198

---

[20]
## ScSb2Os (PBE-GGA)

Data for crystalline ScSb2Os at its relaxed geometry.

## Properties
mass density	9.6	g/cm3
offset from the most stable computed form	0.433	eV per atom
calculated volume	20.6	Å³ per atom
raw formation energy	210	meV/atom
density of states at the Fermi level	3.861	states/eV/f.u.

abc: 4.886 4.886 4.886
angles: 60.00 60.00 60.00
Positions (direct):
Sc  0.000  0.000  0.000
Sb  0.250  0.250  0.250
Sb  0.500  0.500  0.500
Os  0.750  0.750  0.750

---

For the records above, the corresponding total magnetic moment values read 0.000; 0.000; 0.000; 0.000; 0.000; 0.000; 0.052; 0.000; 0.000; 0.000; 0.000; 0.000; 0.000; 0.000; 0.000; 0.266; 0.001; 0.001; 0.000; 0.000 μB/atom.